# Li2HfFe3O6, relaxed, DFT PBE+U
data_Li2HfFe3O6
_chemical_formula_sum 'Li4 Hf2 Fe6 O12'
_space_group_name_H-M_alt 'C 1 2/m 1'
_space_group_IT_number 12
_cell_length_a 5.276
_cell_length_b 9.280
_cell_length_c 5.282
_cell_angle_alpha 90.00
_cell_angle_beta 109.23
_cell_angle_gamma 90.00
loop_
_space_group_symop_operation_xyz
'x,y,z'
'-x,-y,-z'
'-x,y,-z'
'x,-y,z'
'x+1/2,y+1/2,z'
'-x+1/2,-y+1/2,-z'
'-x+1/2,y+1/2,-z'
'x+1/2,-y+1/2,z'
loop_
_atom_site_label
_atom_site_fract_x
_atom_site_fract_y
_atom_site_fract_z
Li1 0.000 0.168 0.000
Hf1 0.000 0.500 0.000
Fe1 0.000 0.000 0.500
Fe2 0.000 0.322 0.500
O1 0.235 0.500 0.745
O2 0.246 0.339 0.240
# - E_tot: -7.122 eV per atom
# - Crystal system: monoclinic